The following is a DFT calculation (PBE) of crystalline HoEr2Fe9 at its relaxed geometry.

a b c (Å): 5.061 5.061 8.547
angles (deg): 72.78 72.78 60.00
Atoms (fractional coordinates):
Ho1 0.000 0.000 0.000
Fe1 0.418 0.418 0.245
Fe2 0.667 0.667 0.999
Fe3 0.500 0.500 0.500
Fe4 0.582 0.081 0.755
Fe5 0.081 0.582 0.755
Fe6 0.333 0.333 0.001
Fe7 0.418 0.919 0.245
Fe8 0.919 0.418 0.245
Fe9 0.582 0.582 0.755
Er1 0.858 0.858 0.426
Er2 0.142 0.142 0.574

Mass density ... 9.338 g/cm³
Energy relative to the elements ... -97 meV per atom
Magnetic moment ... 16.406 μB/f.u.
Space group ... No. 166